(one)
VASP calculation (PBE-GGA) on an optimized crystal structure of K3Ag4.

- Size of the total moment: 0.0 μB per cell

Geometry as POSCAR:
```
K3Ag4
1.0
3.832 -6.637 0.000
3.832 6.637 0.000
0.000 0.000 5.279
K Ag
3 4
direct
0.500 0.500 0.000 K
0.000 0.500 0.000 K
0.500 0.000 0.000 K
0.000 0.000 0.750 Ag
0.333 0.667 0.500 Ag
0.000 0.000 0.250 Ag
0.667 0.333 0.500 Ag
```

---

(two)
VASP calculation (PBE-GGA) on an optimized crystal structure of K3Ag4.

- Size of the total moment: 0.0 μB per cell

Geometry as POSCAR:
```
K3Ag4
1.0
-1.922 1.922 15.680
1.922 -1.922 15.680
1.922 1.922 -15.680
K Ag
3 4
direct
0.000 0.000 0.000 K
0.315 0.315 0.000 K
0.685 0.685 0.000 K
0.418 0.418 0.000 Ag
0.105 0.105 0.000 Ag
0.895 0.895 0.000 Ag
0.582 0.582 0.000 Ag
```

---

(two) ends up most stable, edging out the next structure by 0.183 eV/atom.

---

(one)
VASP calculation (PBE-GGA) on an optimized crystal structure of K6Ag.

- Size of the total moment: 0.0 μB per cell

Geometry as POSCAR:
```
K6Ag
1.0
9.722 0.000 0.000
-3.241 9.166 0.000
-3.241 -4.583 7.938
K Ag
6 1
direct
0.500 0.750 0.250 K
0.250 0.500 0.750 K
0.250 0.750 0.500 K
0.500 0.250 0.750 K
0.750 0.500 0.250 K
0.750 0.250 0.500 K
0.000 0.000 0.000 Ag
```

---

(two)
VASP calculation (PBE-GGA) on an optimized crystal structure of K6Ag.

- Size of the total moment: 0.0 μB per cell

Geometry as POSCAR:
```
K6Ag
1.0
8.081 0.000 0.000
0.000 14.079 0.000
0.000 0.000 15.549
K Ag
24 4
direct
0.733 0.250 0.504 K
0.590 0.420 0.255 K
0.767 0.250 0.004 K
0.233 0.750 0.996 K
0.246 0.421 0.498 K
0.090 0.920 0.245 K
0.254 0.421 0.998 K
0.746 0.579 0.002 K
0.267 0.750 0.496 K
0.754 0.579 0.502 K
0.246 0.079 0.498 K
0.920 0.750 0.743 K
0.090 0.580 0.245 K
0.754 0.921 0.502 K
0.580 0.750 0.243 K
0.080 0.250 0.257 K
0.590 0.080 0.255 K
0.910 0.420 0.755 K
0.410 0.580 0.745 K
0.910 0.080 0.755 K
0.420 0.250 0.757 K
0.254 0.079 0.998 K
0.746 0.921 0.002 K
0.410 0.920 0.745 K
0.582 0.750 0.873 Ag
0.918 0.750 0.373 Ag
0.082 0.250 0.627 Ag
0.418 0.250 0.127 Ag
```

---

(two) ends up most stable, edging out the next structure by 0.505 eV/atom.

---

(one)
VASP calculation (PBE-GGA) on an optimized crystal structure of K8Ag.

- Size of the total moment: 0.0 μB per cell

Geometry as POSCAR:
```
K8Ag
1.0
10.917 -0.911 0.000
-9.437 5.564 0.000
-0.740 -2.326 10.679
K Ag
8 1
direct
0.639 0.361 0.000 K
0.333 0.000 0.333 K
0.361 0.639 0.000 K
0.000 0.333 0.333 K
0.667 0.000 0.667 K
0.361 0.361 0.723 K
0.000 0.667 0.667 K
0.639 0.639 0.277 K
0.000 0.000 0.000 Ag
```

---

(two)
VASP calculation (PBE-GGA) on an optimized crystal structure of K8Ag.

- Size of the total moment: 0.0 μB per cell

Geometry as POSCAR:
```
K8Ag
1.0
6.326 0.000 1.648
3.163 8.971 0.824
0.901 0.000 9.505
K Ag
8 1
direct
0.346 0.000 0.309 K
0.000 0.309 0.691 K
0.346 0.309 0.000 K
0.654 0.691 0.000 K
0.691 0.309 0.309 K
0.309 0.691 0.691 K
0.654 0.000 0.691 K
0.000 0.691 0.309 K
0.000 0.000 0.000 Ag
```

---

(one) ends up most stable, edging out the next structure by 0.015 eV/atom.

---

(one)
VASP calculation (PBE-GGA) on an optimized crystal structure of K4Ag.

- Size of the total moment: 0.0 μB per cell

Geometry as POSCAR:
```
K4Ag
1.0
-1.649 -5.782 -4.391
2.492 -5.519 6.331
-8.441 5.585 2.129
K Ag
8 2
direct
0.424 0.612 0.847 K
0.924 0.235 0.847 K
0.166 0.309 0.332 K
0.666 0.023 0.332 K
0.076 0.765 0.153 K
0.334 0.977 0.668 K
0.834 0.691 0.668 K
0.576 0.388 0.153 K
0.750 0.000 0.000 Ag
0.250 0.000 0.000 Ag
```

---

(two)
VASP calculation (PBE-GGA) on an optimized crystal structure of K4Ag.

- Size of the total moment: 0.0 μB per cell

Geometry as POSCAR:
```
K4Ag
1.0
9.379 0.634 0.000
4.144 6.897 0.000
4.690 0.317 9.660
K Ag
8 2
direct
0.808 0.767 0.874 K
0.066 0.741 0.384 K
0.934 0.259 0.616 K
0.318 0.733 0.874 K
0.549 0.759 0.384 K
0.682 0.267 0.126 K
0.192 0.233 0.126 K
0.451 0.241 0.616 K
0.068 0.250 0.863 Ag
0.932 0.750 0.137 Ag
```

---

(three)
VASP calculation (PBE-GGA) on an optimized crystal structure of K4Ag.

- Size of the total moment: 0.0 μB per cell

Geometry as POSCAR:
```
K4Ag
1.0
-4.949 5.223 -0.051
1.338 -1.971 6.790
6.062 2.410 -3.037
K Ag
4 1
direct
0.000 0.500 0.000 K
0.000 0.000 0.500 K
0.500 0.000 0.000 K
0.500 0.500 0.500 K
0.000 0.000 0.000 Ag
```

---

(one) ends up most stable, edging out the next structure by 0.018 eV/atom.

---

(one)
VASP calculation (PBE-GGA) on an optimized crystal structure of K2LaAg.

- Size of the total moment: 0.0 μB per cell

Geometry as POSCAR:
```
K2LaAg
1.0
5.987 -0.001 -0.004
-2.905 7.080 0.003
0.177 0.992 3.615
Ag K La
1 2 1
direct
0.500 0.500 0.000 Ag
0.000 0.000 0.000 K
0.500 0.000 0.500 K
0.000 0.500 0.500 La
```

---

(two)
VASP calculation (PBE-GGA) on an optimized crystal structure of K2LaAg.

- Size of the total moment: 0.8 μB per cell

Geometry as POSCAR:
```
K2LaAg
1.0
-2.059 -3.831 6.141
-3.718 -6.539 0.219
5.808 3.523 -3.238
Ag K La
1 2 1
direct
0.750 0.250 0.500 Ag
0.500 0.500 0.000 K
0.000 0.000 0.000 K
0.250 0.750 0.500 La
```

---

(three)
VASP calculation (PBE-GGA) on an optimized crystal structure of K2LaAg.

- Size of the total moment: 0.0 μB per cell

Geometry as POSCAR:
```
K2LaAg
1.0
6.752 0.000 0.000
0.000 3.795 -0.012
0.000 0.426 5.967
La K Ag
1 2 1
direct
0.500 0.250 0.250 La
0.000 0.965 0.980 K
0.000 0.535 0.520 K
0.500 0.750 0.750 Ag
```

---

(two) ends up most stable, edging out the next structure by 0.019 eV/atom.

---

(one)
VASP calculation (PBE-GGA) on an optimized crystal structure of K2LaAg.

- Size of the total moment: 0.0 μB per cell

Geometry as POSCAR:
```
K2LaAg
1.0
-6.600 6.840 -4.615
-6.403 1.770 -8.217
4.170 -4.872 8.398
La K Ag
1 2 1
direct
0.750 0.250 0.500 La
0.409 0.409 0.000 K
0.091 0.091 0.000 K
0.250 0.750 0.500 Ag
```

---

(two)
VASP calculation (PBE-GGA) on an optimized crystal structure of K2LaAg.

- Size of the total moment: 0.0 μB per cell

Geometry as POSCAR:
```
K2LaAg
1.0
-6.628 0.564 -4.550
0.136 -0.023 -8.058
1.252 -3.406 7.197
Ag K La
1 2 1
direct
0.263 0.763 0.500 Ag
0.747 0.247 0.500 K
0.060 0.060 0.000 K
0.430 0.430 0.000 La
```

---

(one) ends up most stable, edging out the next structure by 0.142 eV/atom.

---

(one)
VASP calculation (PBE-GGA) on an optimized crystal structure of KLa3Ag.

- Size of the total moment: 0.0 μB per cell

Geometry as POSCAR:
```
KLa3Ag
1.0
5.644 0.000 0.000
0.000 5.644 0.000
0.000 0.000 5.644
K Ag La
1 1 3
direct
0.000 0.000 0.000 K
0.500 0.500 0.500 Ag
0.000 0.000 0.500 La
0.000 0.500 0.000 La
0.500 0.000 0.000 La
```

---

(two)
VASP calculation (PBE-GGA) on an optimized crystal structure of KLa3Ag.

- Size of the total moment: 1.5 μB per cell

Geometry as POSCAR:
```
KLa3Ag
1.0
6.046 0.000 0.000
0.000 6.046 0.000
0.000 0.000 6.046
K La Ag
1 3 1
direct
0.500 0.500 0.500 K
0.000 0.500 0.000 La
0.000 0.000 0.500 La
0.500 0.000 0.000 La
0.000 0.000 0.000 Ag
```

---

(two) ends up most stable, edging out the next structure by 0.779 eV/atom.

---

(one)
VASP calculation (PBE-GGA) on an optimized crystal structure of KLa2Ag2.

- Size of the total moment: 0.0 μB per cell

Geometry as POSCAR:
```
KLa2Ag2
1.0
-8.493 -2.867 -1.631
2.839 -8.647 0.417
-0.713 -0.051 3.804
Ag K La
4 2 4
direct
0.138 0.362 0.000 Ag
0.862 0.638 0.000 Ag
0.638 0.138 0.000 Ag
0.362 0.862 0.000 Ag
0.500 0.500 0.000 K
0.000 0.000 0.000 K
0.647 0.853 0.500 La
0.353 0.147 0.500 La
0.147 0.647 0.500 La
0.853 0.353 0.500 La
```

---

(two)
VASP calculation (PBE-GGA) on an optimized crystal structure of KLa2Ag2.

- Size of the total moment: 0.0 μB per cell

Geometry as POSCAR:
```
KLa2Ag2
1.0
-0.548 3.319 3.868
-4.309 1.776 -2.134
-5.953 -1.959 4.235
Ag La K
2 2 1
direct
0.605 0.605 0.790 Ag
0.395 0.395 0.210 Ag
0.250 0.750 0.500 La
0.750 0.250 0.500 La
0.000 0.000 0.000 K
```

---

(one) ends up most stable, edging out the next structure by 0.088 eV/atom.

---

(one)
VASP calculation (PBE-GGA) on an optimized crystal structure of KLaAg3.

- Size of the total moment: 0.0 μB per cell

Geometry as POSCAR:
```
KLaAg3
1.0
5.441 0.000 0.000
0.000 5.441 0.000
0.000 0.000 5.441
La Ag K
1 3 1
direct
0.500 0.500 0.500 La
0.500 0.000 0.000 Ag
0.000 0.000 0.500 Ag
0.000 0.500 0.000 Ag
0.000 0.000 0.000 K
```

---

(two)
VASP calculation (PBE-GGA) on an optimized crystal structure of KLaAg3.

- Size of the total moment: 0.0 μB per cell

Geometry as POSCAR:
```
KLaAg3
1.0
5.861 0.000 0.000
0.000 5.861 0.000
0.000 0.000 5.861
Ag K La
3 1 1
direct
0.500 0.000 0.000 Ag
0.000 0.000 0.500 Ag
0.000 0.500 0.000 Ag
0.500 0.500 0.500 K
0.000 0.000 0.000 La
```

---

(two) ends up most stable, edging out the next structure by 0.247 eV/atom.

---

(one)
VASP calculation (PBE-GGA) on an optimized crystal structure of KLiAg2.

- Size of the total moment: 0.0 μB per cell

Geometry as POSCAR:
```
KLiAg2
1.0
-5.417 -4.794 4.001
5.149 -6.425 -0.727
1.136 -4.885 4.224
Li Ag K
2 4 2
direct
0.250 0.750 0.500 Li
0.500 0.500 0.000 Li
0.375 0.427 0.750 Ag
0.177 0.625 0.250 Ag
0.875 0.823 0.750 Ag
0.573 0.125 0.250 Ag
0.000 0.000 0.000 K
0.750 0.250 0.500 K
```

---

(two)
VASP calculation (PBE-GGA) on an optimized crystal structure of KLiAg2.

- Size of the total moment: 0.0 μB per cell

Geometry as POSCAR:
```
KLiAg2
1.0
-4.509 3.579 1.840
-4.685 -2.706 2.695
5.892 1.349 0.013
Ag K Li
2 1 1
direct
0.462 0.462 0.000 Ag
0.038 0.038 0.000 Ag
0.750 0.250 0.500 K
0.250 0.750 0.500 Li
```

---

(three)
VASP calculation (PBE-GGA) on an optimized crystal structure of KLiAg2.

- Size of the total moment: 0.0 μB per cell

Geometry as POSCAR:
```
KLiAg2
1.0
4.754 -0.038 0.036
2.410 4.098 0.036
2.295 1.301 5.901
Ag Li K
2 1 1
direct
0.312 0.312 0.064 Ag
0.997 0.997 0.009 Ag
0.687 0.687 0.938 Li
0.505 0.505 0.489 K
```

---

(four)
VASP calculation (PBE-GGA) on an optimized crystal structure of KLiAg2.

- Size of the total moment: 0.0 μB per cell

Geometry as POSCAR:
```
KLiAg2
1.0
-4.526 8.126 -2.077
-4.409 6.706 -5.140
-6.880 5.879 -2.988
Li K Ag
1 1 2
direct
0.750 0.750 0.750 Li
0.250 0.250 0.250 K
0.485 0.485 0.485 Ag
0.015 0.015 0.015 Ag
```

---

(three) ends up most stable, edging out the next structure by 0.173 eV/atom.

---

(one)
VASP calculation (PBE-GGA) on an optimized crystal structure of KLiAg2.

- Size of the total moment: 0.0 μB per cell

Geometry as POSCAR:
```
KLiAg2
1.0
-3.219 -0.698 0.479
-0.501 -1.206 -5.123
0.853 -5.866 -2.810
K Ag Li
1 2 1
direct
0.500 0.500 0.500 K
0.000 0.000 0.000 Ag
0.500 0.500 0.000 Ag
0.000 0.000 0.500 Li
```

---

(two)
VASP calculation (PBE-GGA) on an optimized crystal structure of KLiAg2.

- Size of the total moment: 0.0 μB per cell

Geometry as POSCAR:
```
KLiAg2
1.0
6.340 -0.037 -0.052
3.092 5.535 0.052
-3.914 -4.124 2.805
K Ag Li
1 2 1
direct
0.505 0.505 0.000 K
0.001 0.001 0.000 Ag
0.787 0.287 0.500 Ag
0.207 0.707 0.500 Li
```

---

(two) ends up most stable, edging out the next structure by 0.119 eV/atom.